Fe2ReOs: relaxed, PBE-GGA.

- E: -10.00 eV/atom
- Total magnetization: 1.177 μB per atom
- Space-group type: R3m

Cell lengths 8.5617, 8.5617, 8.5617 Å; angles 18.30, 18.30, 18.30 degrees
With the nearest neighbours (Å) after each atom.
Sites, in units of the cell vectors:
Fe (0.0000, 0.0000, 0.0000)  9 Fe 2.46-2.72, 3 Os 2.68
Fe (0.2583, 0.2583, 0.2583)  9 Fe 2.46-2.72, 3 Re 2.68
Re (0.5059, 0.5059, 0.5059)  3 Fe 2.68, 3 Os 2.70, 6 Re 2.72
Os (0.7524, 0.7524, 0.7524)  3 Fe 2.68, 3 Re 2.70, 6 Os 2.72